CdBP2O PBE optimized geometry; E_tot = -23.0 eV for the cell shown; crystal system = tetragonal; raw formation energy = 76.0 meV/atom; space group = P4/mmm; magnetization = 0.000 μB/cell
1.0
5.457 0.000 0.000
0.000 5.457 0.000
0.000 0.000 2.623
Cd B P O
1 1 2 1
direct
0.000 0.000 0.000 Cd
0.500 0.500 0.500 B
0.000 0.500 0.500 P
0.500 0.000 0.500 P
0.500 0.500 0.000 O